Entry A
Compound: PrTmAg
Source: Alexandria via LeMat-Bulk
Functional: PBE
Structure: relaxed

Cell and atoms, written as POSCAR:
```
PrTmAg
1.0
3.6256 0.0000 0.0000
0.0000 3.6256 0.0000
0.0000 0.0000 12.8188
Pr Tm Ag
2 2 2
Cartesian
0.0000 0.0000 0.0000
1.8128 1.8128 6.4094
0.0000 0.0000 3.8093
1.8128 1.8128 10.2187
0.0000 0.0000 8.5739
1.8128 1.8128 2.1645
```

Mass density (g/cm³): 8.23
Fermi-level density of states (states/eV/cell): 7.091

---

Entry B
Compound: PrTmAg
Source: Alexandria via LeMat-Bulk
Functional: PBE
Structure: relaxed

Cell and atoms, written as POSCAR:
```
PrTmAg
1.0
4.8382 0.0000 0.0000
0.0000 4.8382 0.0000
0.0000 0.0000 7.4676
Pr Tm Ag
2 2 2
Cartesian
1.2095 1.2095 0.9356
3.6286 3.6286 6.5320
1.2095 3.6286 3.7338
3.6286 1.2095 3.7338
1.2095 1.2095 5.4512
3.6286 3.6286 2.0164
```

Mass density (g/cm³): 7.94
Fermi-level density of states (states/eV/cell): 7.159

---

Entry C
Compound: PrTmAg
Source: Alexandria via LeMat-Bulk
Functional: PBE
Structure: relaxed

Cell and atoms, written as POSCAR:
```
PrTmAg
1.0
5.0567 0.0000 0.0000
-2.5284 4.3793 0.0000
0.0000 0.0000 3.8597
Pr Tm Ag
1 1 1
Cartesian
0.0000 0.0000 0.0000
0.0000 2.9195 1.8659
2.5284 1.4598 2.2107
```

Mass density (g/cm³): 8.12
Fermi-level density of states (states/eV/cell): 3.303

---

Energies relative to the most stable structure, in eV/atom: entry A 0.000; entry B 0.022; entry C 0.137.

---

Entry A
Compound: PrYTmAg
Source: Alexandria via LeMat-Bulk
Functional: PBE
Structure: relaxed

Cell and atoms, written as POSCAR:
```
PrYTmAg
1.0
3.6192 0.0000 0.0000
0.0000 3.6192 0.0000
0.0000 0.0000 8.7998
Pr Y Tm Ag
1 1 1 1
Cartesian
0.0000 0.0000 0.0000
1.8096 1.8096 6.1721
1.8096 1.8096 2.5692
0.0000 0.0000 4.2894
```

Mass density (g/cm³): 7.30
Fermi-level density of states (states/eV/cell): 5.169

---

Entry B
Compound: PrYTmAg
Source: Alexandria via LeMat-Bulk
Functional: PBE
Structure: relaxed

Cell and atoms, written as POSCAR:
```
PrYTmAg
1.0
7.6923 0.0000 0.0000
0.0000 7.6923 0.0000
0.0000 0.0000 7.6923
Pr Y Tm Ag
4 4 4 4
Cartesian
0.0000 0.0000 0.0000
0.0000 3.8462 3.8462
3.8462 0.0000 3.8462
3.8462 3.8462 0.0000
0.0000 0.0000 3.8462
0.0000 3.8462 0.0000
3.8462 0.0000 0.0000
3.8462 3.8462 3.8462
1.9231 1.9231 5.7692
1.9231 5.7692 1.9231
5.7692 1.9231 1.9231
5.7692 5.7692 5.7692
1.9231 1.9231 1.9231
1.9231 5.7692 5.7692
5.7692 1.9231 5.7692
5.7692 5.7692 1.9231
```

Mass density (g/cm³): 7.39
Fermi-level density of states (states/eV/cell): 14.902

---

Energies relative to the most stable structure, in eV/atom: entry A 0.000; entry B 0.193.

---

Entry A
Compound: Pr2YAg
Source: Alexandria via LeMat-Bulk
Functional: PBE
Structure: relaxed

Cell and atoms, written as POSCAR:
```
Pr2YAg
1.0
3.6915 0.0000 0.0000
-1.8457 3.1969 0.0000
0.0000 0.0000 32.1189
Pr Y Ag
6 3 3
Cartesian
0.0000 0.0000 0.0000
0.0000 0.0000 5.8504
0.0000 2.1313 21.4126
0.0000 2.1313 27.2631
1.8457 1.0656 10.7063
1.8457 1.0656 16.5568
0.0000 0.0000 13.6168
0.0000 2.1313 2.9105
1.8457 1.0656 24.3231
0.0000 0.0000 19.0061
0.0000 2.1313 8.2998
1.8457 1.0656 29.7124
```

Mass density (g/cm³): 6.29
Fermi-level density of states (states/eV/cell): 14.253

---

Entry B
Compound: Pr2YAg
Source: Alexandria via LeMat-Bulk
Functional: PBE
Structure: relaxed

Cell and atoms, written as POSCAR:
```
Pr2YAg
1.0
3.6722 0.0000 0.0000
-1.8361 3.1802 0.0000
0.0000 0.0000 32.3007
Pr Y Ag
6 3 3
Cartesian
0.0000 0.0000 7.8154
0.0000 0.0000 24.4853
0.0000 2.1202 13.7184
0.0000 2.1202 29.3492
1.8361 1.0601 2.9515
1.8361 1.0601 18.5823
0.0000 0.0000 0.0000
0.0000 2.1202 21.5338
1.8361 1.0601 10.7669
0.0000 0.0000 16.1504
0.0000 2.1202 5.3835
1.8361 1.0601 26.9173
```

Mass density (g/cm³): 6.32
Fermi-level density of states (states/eV/cell): 10.898

---

Entry C
Compound: Pr2YAg
Source: Alexandria via LeMat-Bulk
Functional: PBE
Structure: relaxed

Cell and atoms, written as POSCAR:
```
Pr2YAg
1.0
3.7383 0.0000 0.0000
0.0000 3.7383 0.0000
0.0000 0.0000 8.8901
Pr Y Ag
2 1 1
Cartesian
0.0000 0.0000 1.9305
0.0000 0.0000 6.9596
1.8692 1.8692 4.4451
1.8692 1.8692 0.0000
```

Mass density (g/cm³): 6.40
Fermi-level density of states (states/eV/cell): 7.076

---

Energies relative to the most stable structure, in eV/atom: entry A 0.098; entry B 0.086; entry C 0.000.

---

Entry A
Compound: PrY2Ag
Source: Alexandria via LeMat-Bulk
Functional: PBE
Structure: relaxed

Cell and atoms, written as POSCAR:
```
PrY2Ag
1.0
4.8484 0.0000 0.0000
0.0000 4.8484 0.0000
0.0000 0.0000 4.9060
Pr Y Ag
1 2 1
Cartesian
0.0000 0.0000 0.0000
0.0000 2.4242 2.4530
2.4242 0.0000 2.4530
2.4242 2.4242 0.0000
```

Mass density (g/cm³): 6.14
Fermi-level density of states (states/eV/cell): 6.462

---

Entry B
Compound: PrY2Ag
Source: Alexandria via LeMat-Bulk
Functional: PBE
Structure: relaxed

Cell and atoms, written as POSCAR:
```
PrY2Ag
1.0
3.4938 0.0000 0.0000
-1.7469 3.0257 0.0000
0.0000 0.0000 34.6456
Pr Y Ag
3 6 3
Cartesian
0.0000 0.0000 0.0000
0.0000 2.0172 23.0971
1.7469 1.0086 11.5485
0.0000 0.0000 3.4265
0.0000 0.0000 31.2191
0.0000 2.0172 19.6706
0.0000 2.0172 26.5236
1.7469 1.0086 8.1220
1.7469 1.0086 14.9750
0.0000 0.0000 17.3228
0.0000 2.0172 5.7743
1.7469 1.0086 28.8713
```

Mass density (g/cm³): 5.80
Fermi-level density of states (states/eV/cell): 17.541

---

Energies relative to the most stable structure, in eV/atom: entry A 0.000; entry B 0.143.

---

Entry A
Compound: PrY2Ag
Source: Alexandria via LeMat-Bulk
Functional: PBE
Structure: relaxed

Cell and atoms, written as POSCAR:
```
PrY2Ag
1.0
3.6660 0.0000 0.0000
0.0000 3.6660 0.0000
0.0000 0.0000 8.7097
Pr Y Ag
1 2 1
Cartesian
0.0000 0.0000 0.0000
1.8330 1.8330 2.5608
1.8330 1.8330 6.1488
0.0000 0.0000 4.3548
```

Mass density (g/cm³): 6.05
Fermi-level density of states (states/eV/cell): 6.059

---

Entry B
Compound: PrY2Ag
Source: Alexandria via LeMat-Bulk
Functional: PBE
Structure: relaxed

Cell and atoms, written as POSCAR:
```
PrY2Ag
1.0
3.6901 0.0000 0.0000
-1.8450 3.1957 0.0000
0.0000 0.0000 31.1211
Pr Y Ag
3 6 3
Cartesian
0.0000 0.0000 0.0000
0.0000 2.1305 20.7474
1.8451 1.0652 10.3737
0.0000 0.0000 17.7624
0.0000 0.0000 23.7065
0.0000 2.1305 7.3887
0.0000 2.1305 13.3328
1.8451 1.0652 2.9591
1.8451 1.0652 28.1361
0.0000 0.0000 5.1650
0.0000 2.1305 25.9124
1.8451 1.0652 15.5387
```

Mass density (g/cm³): 5.79
Fermi-level density of states (states/eV/cell): 16.114

---

Energies relative to the most stable structure, in eV/atom: entry A 0.000; entry B 0.132.

---

Entry A
Compound: PrYAg4
Source: Alexandria via LeMat-Bulk
Functional: PBE
Structure: relaxed

Cell and atoms, written as POSCAR:
```
PrYAg4
1.0
5.3852 0.0000 0.0000
0.0000 9.4591 0.0000
-0.0093 0.0000 5.3831
Pr Y Ag
2 2 8
Cartesian
0.0000 0.0000 0.0000
2.6926 4.7295 0.0000
-0.0047 4.7295 2.6916
2.6879 0.0000 2.6916
-0.0047 1.6614 2.6916
0.0000 3.1300 0.0000
0.0000 6.3291 0.0000
-0.0047 7.7976 2.6916
2.6926 1.5995 0.0000
2.6879 3.0681 2.6916
2.6879 6.3910 2.6916
2.6926 7.8595 0.0000
```

Mass density (g/cm³): 8.01
Fermi-level density of states (states/eV/cell): 6.038

---

Entry B
Compound: PrYAg4
Source: Alexandria via LeMat-Bulk
Functional: PBE
Structure: relaxed

Cell and atoms, written as POSCAR:
```
PrYAg4
1.0
0.0000 4.0790 4.0790
4.0790 0.0000 4.0790
4.0790 4.0790 0.0000
Pr Y Ag
1 1 4
Cartesian
0.0000 0.0000 0.0000
2.0395 2.0395 2.0395
5.0955 3.0625 3.0625
3.0625 5.0955 3.0625
3.0625 3.0625 5.0955
5.0955 5.0955 5.0955
```

Mass density (g/cm³): 8.09
Fermi-level density of states (states/eV/cell): 4.516

---

Energies relative to the most stable structure, in eV/atom: entry A 0.000; entry B 0.106.

---

Entry A
Compound: PrY4Ag
Source: Alexandria via LeMat-Bulk
Functional: PBE
Structure: relaxed

Cell and atoms, written as POSCAR:
```
PrY4Ag
1.0
2.7249 -10.6662 0.0000
2.7249 10.6662 0.0000
0.0000 0.0000 6.5532
Pr Y Ag
2 8 2
Cartesian
2.7249 7.7611 3.2766
2.7249 -7.7611 0.0000
2.7249 9.2332 0.0480
2.7249 5.1092 0.8685
2.7249 3.7135 4.2067
2.7249 0.7362 5.5951
2.7249 -0.7362 2.3185
2.7249 -3.7135 0.9301
2.7249 -5.1092 4.1451
2.7249 -9.2332 3.3246
2.7249 2.1468 1.6931
2.7249 -2.1468 4.9697
```

Mass density (g/cm³): 5.27
Fermi-level density of states (states/eV/cell): 19.963

---

Entry B
Compound: PrY4Ag
Source: Alexandria via LeMat-Bulk
Functional: PBE
Structure: relaxed

Cell and atoms, written as POSCAR:
```
PrY4Ag
1.0
3.6134 0.0000 0.0000
0.0000 3.6134 0.0000
0.0000 0.0000 13.9983
Pr Y Ag
1 4 1
Cartesian
0.0000 0.0000 0.0000
0.0000 0.0000 5.1350
0.0000 0.0000 8.8632
1.8067 1.8067 2.5748
1.8067 1.8067 11.4235
1.8067 1.8067 6.9991
```

Mass density (g/cm³): 5.49
Fermi-level density of states (states/eV/cell): 9.009

---

Energies relative to the most stable structure, in eV/atom: entry A 0.133; entry B 0.000.

---

Entry A
Compound: Pr3YAg2
Source: Alexandria via LeMat-Bulk
Functional: PBE
Structure: relaxed

Cell and atoms, written as POSCAR:
```
Pr3YAg2
1.0
5.2689 0.0000 0.0000
0.0000 9.4981 0.0000
0.0000 0.0000 7.0924
Pr Y Ag
6 2 4
Cartesian
0.0000 0.6076 0.0000
0.0000 3.1723 2.4826
0.0000 6.3258 6.0288
0.0000 8.8904 3.5462
2.6345 1.6089 4.7226
2.6345 7.8891 1.1764
2.6345 4.1741 0.1290
2.6345 5.3240 3.6752
0.0000 3.3411 5.5505
0.0000 6.1570 2.0043
2.6345 1.4991 1.6570
2.6345 7.9990 5.2032
```

Mass density (g/cm³): 6.81
Fermi-level density of states (states/eV/cell): 14.091

---

Entry B
Compound: Pr3YAg2
Source: Alexandria via LeMat-Bulk
Functional: PBE
Structure: relaxed

Cell and atoms, written as POSCAR:
```
Pr3YAg2
1.0
5.5522 0.0000 0.0000
0.0000 3.7525 0.0000
-2.7489 0.0000 8.4047
Pr Y Ag
3 1 2
Cartesian
0.0000 0.0000 0.0000
0.0177 0.0000 5.4046
2.7856 0.0000 3.0001
2.7761 1.8762 0.0000
0.0078 1.8762 2.5890
2.7954 1.8762 5.8157
```

Mass density (g/cm³): 6.90
Fermi-level density of states (states/eV/cell): 6.829

---

Energies relative to the most stable structure, in eV/atom: entry A 0.000; entry B 0.057.

---

Entry A
Compound: Pr4Zn3Ag
Source: Alexandria via LeMat-Bulk
Functional: PBE
Structure: relaxed

Cell and atoms, written as POSCAR:
```
Pr4Zn3Ag
1.0
3.7424 0.0000 0.0000
0.0000 3.7424 0.0000
0.0000 0.0000 14.8390
Pr Zn Ag
4 3 1
Cartesian
0.0000 0.0000 1.8396
0.0000 0.0000 5.4679
0.0000 0.0000 9.3711
0.0000 0.0000 12.9994
1.8712 1.8712 0.0000
1.8712 1.8712 3.6395
1.8712 1.8712 11.1995
1.8712 1.8712 7.4195
```

Mass density (g/cm³): 6.93
Fermi-level density of states (states/eV/cell): 8.385

---

Entry B
Compound: Pr4Zn3Ag
Source: Alexandria via LeMat-Bulk
Functional: PBE
Structure: relaxed

Cell and atoms, written as POSCAR:
```
Pr4Zn3Ag
1.0
3.7154 0.0000 0.0000
0.0000 4.6462 0.0000
0.0000 0.0000 12.2016
Pr Zn Ag
4 3 1
Cartesian
0.0000 0.0000 0.0000
0.0000 2.3231 3.6609
1.8577 0.0000 6.0218
1.8577 2.3231 9.7810
0.0000 2.3231 7.0903
1.8577 0.0000 2.6037
1.8577 2.3231 1.0303
0.0000 0.0000 8.7028
```

Mass density (g/cm³): 6.84
Fermi-level density of states (states/eV/cell): 7.886

---

Energies relative to the most stable structure, in eV/atom: entry A 0.000; entry B 0.041.

---

Entry A
Compound: PrZn2Ag3
Source: Alexandria via LeMat-Bulk
Functional: PBE
Structure: relaxed

Cell and atoms, written as POSCAR:
```
PrZn2Ag3
1.0
8.1369 -2.1614 0.0000
8.1369 2.1614 0.0000
-3.6727 0.0000 7.0157
Pr Zn Ag
2 4 6
Cartesian
2.1608 0.0000 0.4451
10.4403 0.0000 6.5705
0.6575 0.0000 5.0096
4.7764 0.0000 5.8493
7.8247 0.0000 1.1664
11.9436 0.0000 2.0061
-0.6852 0.0000 2.6368
3.0867 0.0000 3.8566
5.3937 0.0000 2.1608
7.2074 0.0000 4.8549
9.5143 0.0000 3.1591
13.2863 0.0000 4.3788
```

Mass density (g/cm³): 8.01
Fermi-level density of states (states/eV/cell): 6.328

---

Entry B
Compound: PrZn2Ag3
Source: Alexandria via LeMat-Bulk
Functional: PBE
Structure: relaxed

Cell and atoms, written as POSCAR:
```
PrZn2Ag3
1.0
4.9930 -4.5553 0.0000
4.9930 4.5553 0.0000
0.0000 0.0000 5.3812
Pr Zn Ag
2 4 6
Cartesian
4.9930 2.9723 4.0359
4.9930 -2.9723 1.3453
2.6510 0.0000 0.0000
2.6510 0.0000 2.6906
7.3349 0.0000 0.0000
7.3349 0.0000 2.6906
3.2129 2.4775 1.3453
6.7730 2.4775 1.3453
4.9930 0.3584 1.3453
4.9930 -0.3584 4.0359
3.2129 -2.4775 4.0359
6.7730 -2.4775 4.0359
```

Mass density (g/cm³): 8.08
Fermi-level density of states (states/eV/cell): 5.134

---

Energies relative to the most stable structure, in eV/atom: entry A 0.010; entry B 0.000.

---

Entry A
Compound: PrZnAg3
Source: Alexandria via LeMat-Bulk
Functional: PBE
Structure: relaxed

Cell and atoms, written as POSCAR:
```
PrZnAg3
1.0
5.9206 0.0000 0.0000
0.0000 5.8616 0.0000
-0.3884 0.0000 6.0494
Pr Zn Ag
2 2 6
Cartesian
0.9083 1.4654 1.0314
4.6239 4.3962 5.0180
0.2106 4.3962 2.1767
5.3216 1.4654 3.8728
1.6554 2.9429 3.9713
1.6554 5.8495 3.9713
2.1144 4.3962 0.3868
3.4178 1.4654 5.6626
3.8769 0.0121 2.0782
3.8769 2.9187 2.0782
```

Mass density (g/cm³): 8.38
Fermi-level density of states (states/eV/cell): 4.065

---

Entry B
Compound: PrZnAg3
Source: Alexandria via LeMat-Bulk
Functional: PBE
Structure: relaxed

Cell and atoms, written as POSCAR:
```
PrZnAg3
1.0
4.0292 0.0000 0.0000
-0.0033 4.3803 0.0000
-2.0053 -2.1750 6.1191
Pr Zn Ag
1 1 3
Cartesian
0.0000 0.0000 0.0000
-0.0004 0.0060 4.8379
0.0038 2.1975 3.3177
2.0201 2.1975 1.3115
2.0166 0.0072 3.1019
```

Mass density (g/cm³): 8.15
Fermi-level density of states (states/eV/cell): 2.963

---

Energies relative to the most stable structure, in eV/atom: entry A 0.000; entry B 0.049.

---

Entry A
Compound: Pr2Zn2Ag3
Source: Alexandria via LeMat-Bulk
Functional: PBE
Structure: relaxed

Cell and atoms, written as POSCAR:
```
Pr2Zn2Ag3
1.0
4.4039 0.0000 0.0000
0.0000 20.0162 0.0000
0.0000 0.0000 3.5660
Pr Zn Ag
4 4 6
Cartesian
0.0000 3.0854 0.0000
0.0000 16.9308 0.0000
2.2020 6.9227 0.0000
2.2020 13.0935 0.0000
0.0000 5.6853 1.7830
0.0000 14.3309 1.7830
2.2020 4.3228 1.7830
2.2020 15.6934 1.7830
0.0000 0.0000 0.0000
0.0000 8.6171 1.7830
0.0000 11.3991 1.7830
2.2020 1.3910 1.7830
2.2020 10.0081 0.0000
2.2020 18.6252 1.7830
```

Mass density (g/cm³): 7.78
Fermi-level density of states (states/eV/cell): 9.508

---

Entry B
Compound: Pr2Zn2Ag3
Source: Alexandria via LeMat-Bulk
Functional: PBE
Structure: relaxed

Cell and atoms, written as POSCAR:
```
Pr2Zn2Ag3
1.0
2.1494 -9.9820 0.0000
2.1494 9.9820 0.0000
0.0000 0.0000 7.5030
Pr Zn Ag
4 4 6
Cartesian
2.1494 8.8216 5.6273
2.1494 6.7578 1.8758
2.1494 -6.7578 5.6273
2.1494 -8.8216 1.8758
2.1494 3.7835 0.4494
2.1494 3.7835 3.3022
2.1494 -3.7835 4.2009
2.1494 -3.7835 7.0537
2.1494 5.5205 5.6273
2.1494 1.2678 4.2414
2.1494 1.2678 7.0131
2.1494 -1.2678 0.4899
2.1494 -1.2678 3.2616
2.1494 -5.5205 1.8758
```

Mass density (g/cm³): 7.59
Fermi-level density of states (states/eV/cell): 9.835

---

Energies relative to the most stable structure, in eV/atom: entry A 0.061; entry B 0.000.